Material: VAsO6
Method: DFT, PBE with a Hubbard U
State: optimized geometry

space group: P-1

Lattice parameters (Å, degrees): 4.999 4.923 4.918 59.49 65.40 56.38
Positions (direct):
O  0.933  0.561  0.362
O  0.729  0.079  0.798
V  0.500  0.500  0.500
O  0.673  0.280  0.223
O  0.327  0.720  0.777
As  0.000  0.000  0.000
O  0.067  0.439  0.638
O  0.271  0.921  0.202

Material: VAs2O8
Method: DFT, PBE with a Hubbard U
State: optimized geometry

space group: C2/m

Lattice parameters (Å, degrees): 4.807 6.152 6.152 99.62 90.97 90.97
Each line ends with the local moment (μB).
Positions (direct):
O  0.697  0.443  0.443  0.38
O  0.776  0.251  0.984  0.00
O  0.254  0.196  0.196  0.00
O  0.224  0.749  0.016  0.00
As  0.396  0.765  0.765  0.00
O  0.746  0.804  0.804  0.00
O  0.776  0.984  0.251  0.00
O  0.224  0.016  0.749  0.00
As  0.604  0.235  0.235  0.00
V  0.000  0.000  0.000  0.03
O  0.303  0.557  0.557  0.38

Material: VAsO4
Method: DFT, PBE with a Hubbard U
State: optimized geometry

space group: P2_1/c

Lattice parameters (Å, degrees): 6.154 6.518 7.891 113.65 89.99 90.00
Each line ends with the local moment (μB).
Positions (direct):
O  0.320  0.237  0.798  -0.01
O  0.331  0.965  0.070  -0.01
O  0.042  0.903  0.749  -0.02
O  0.169  0.465  0.570  -0.01
O  0.978  0.346  0.059  -0.02
As  0.110  0.850  0.146  0.02
O  0.669  0.035  0.930  -0.01
O  0.522  0.846  0.559  -0.02
As  0.390  0.350  0.646  0.02
V  0.380  0.918  0.790  1.92
O  0.958  0.097  0.251  -0.02
O  0.022  0.654  0.941  -0.02
O  0.820  0.263  0.702  -0.01
O  0.542  0.597  0.751  -0.02
V  0.120  0.418  0.290  1.92
O  0.180  0.737  0.298  -0.01
O  0.458  0.403  0.249  -0.02
As  0.890  0.150  0.854  0.02
V  0.880  0.582  0.710  1.92
O  0.478  0.154  0.441  -0.02
As  0.610  0.650  0.354  0.02
O  0.680  0.763  0.202  -0.01
O  0.831  0.535  0.430  -0.01
V  0.619  0.082  0.210  1.92

Material: V2AsO6
Method: DFT, PBE with a Hubbard U
State: optimized geometry

space group: C2/c

Lattice parameters (Å, degrees): 4.082 7.719 7.719 106.90 104.01 104.01
Each line ends with the local moment (μB).
Positions (direct):
O  0.104  0.542  0.684  -0.05
O  0.102  0.851  0.366  -0.05
O  0.344  0.963  0.775  -0.02
O  0.396  0.316  0.458  -0.05
O  0.602  0.366  0.851  -0.05
As  0.250  0.173  0.827  0.03
V  0.378  0.452  0.269  1.53
V  0.122  0.731  0.548  1.53
O  0.898  0.149  0.634  -0.05
O  0.398  0.634  0.149  -0.05
O  0.656  0.037  0.225  -0.02
O  0.896  0.458  0.316  -0.05
V  0.878  0.269  0.452  1.53
As  0.750  0.827  0.173  0.03
O  0.604  0.684  0.542  -0.05
V  0.622  0.548  0.731  1.53
O  0.844  0.775  0.963  -0.02
O  0.156  0.225  0.037  -0.02

Material: V3AsO
Method: DFT, PBE with a Hubbard U
State: optimized geometry

space group: Pm-3m

Lattice parameters (Å, degrees): 3.980 3.980 3.980 90.00 90.00 90.00
Each line ends with the local moment (μB).
Positions (direct):
V  0.000  0.000  0.500  0.07
As  0.500  0.500  0.500  0.00
O  0.000  0.000  0.000  0.00
V  0.000  0.500  0.000  0.07
V  0.500  0.000  0.000  0.07

Material: V3As2O9
Method: DFT, PBE with a Hubbard U
State: optimized geometry

space group: Cm

Lattice parameters (Å, degrees): 5.490 5.490 6.529 77.80 77.80 72.30
Each line ends with the local moment (μB).
Positions (direct):
V  0.578  0.578  0.696  1.81
O  0.630  0.630  0.367  -0.02
O  0.799  0.799  0.701  -0.14
V  0.981  0.981  0.525  1.19
O  0.112  0.727  0.315  -0.01
As  0.819  0.819  0.186  0.01
O  0.490  0.490  0.017  -0.06
O  0.368  0.368  0.623  -0.02
O  0.273  0.891  0.690  -0.03
As  0.183  0.183  0.816  0.02
O  0.727  0.112  0.315  -0.01
V  0.407  0.407  0.287  0.18
O  0.212  0.212  0.307  -0.03
O  0.891  0.273  0.690  -0.03

Material: VAsO3
Method: DFT, PBE with a Hubbard U
State: optimized geometry

space group: Pm-3m

Lattice parameters (Å, degrees): 3.846 3.846 3.846 90.00 90.00 90.00
Each line ends with the local moment (μB).
Positions (direct):
O  0.500  0.000  0.000  -0.08
O  0.000  0.000  0.500  -0.08
As  0.500  0.500  0.500  0.38
V  0.000  0.000  0.000  1.29
O  0.000  0.500  0.000  -0.08

Material: YVAsO2
Method: DFT, PBE with a Hubbard U
State: optimized geometry

space group: P4/mmm

Lattice parameters (Å, degrees): 4.161 5.449 4.161 90.00 90.00 90.00
Each line ends with the local moment (μB).
Positions (direct):
O  0.500  0.000  0.000  -0.11
Y  0.000  0.500  0.000  -0.21
V  0.500  0.500  0.500  -3.11
O  0.000  0.000  0.500  -0.14
As  0.000  0.000  0.000  -0.03

Material: YVAs2O8
Method: DFT, PBE with a Hubbard U
State: optimized geometry

space group: I-4m2

Lattice parameters (Å, degrees): 5.846 5.846 5.846 106.36 106.36 115.89
Each line ends with the local moment (μB).
Positions (direct):
O  0.760  0.071  0.689  0.00
O  0.868  0.690  0.178  -0.01
O  0.512  0.690  0.822  -0.01
O  0.929  0.240  0.311  0.00
Y  0.250  0.750  0.500  0.00
O  0.310  0.132  0.822  -0.01
O  0.929  0.617  0.689  0.00
O  0.383  0.071  0.311  0.00
As  0.500  0.500  0.000  0.00
O  0.310  0.488  0.178  -0.01
As  0.750  0.250  0.500  0.01
V  0.000  0.000  0.000  1.92

Material: VZnAs2O8
Method: DFT, PBE with a Hubbard U
State: optimized geometry

space group: I-4m2

Lattice parameters (Å, degrees): 5.606 5.606 5.606 107.27 107.27 113.98
Each line ends with the local moment (μB).
Positions (direct):
O  0.371  0.065  0.306  -0.01
O  0.935  0.629  0.694  -0.01
O  0.299  0.116  0.817  -0.03
As  0.500  0.500  0.000  0.00
O  0.884  0.701  0.183  -0.03
V  0.000  0.000  0.000  1.12
O  0.299  0.482  0.183  -0.03
As  0.750  0.250  0.500  0.00
O  0.518  0.701  0.817  -0.03
O  0.935  0.241  0.306  -0.01
Zn  0.250  0.750  0.500  0.00
O  0.759  0.065  0.694  -0.01

Material: VZnAs2O6
Method: DFT, PBE with a Hubbard U
State: optimized geometry

space group: C2/c

Lattice parameters (Å, degrees): 5.145 8.314 8.314 103.29 77.95 77.95
Each line ends with the local moment (μB).
Positions (direct):
O  0.128  0.725  0.081  -0.03
O  0.995  0.688  0.609  0.00
V  0.250  0.913  0.087  1.03
Zn  0.250  0.178  0.822  0.02
O  0.872  0.275  0.919  -0.03
As  0.786  0.621  0.776  0.00
Zn  0.750  0.822  0.178  0.02
O  0.363  0.163  0.067  -0.01
O  0.005  0.312  0.391  0.00
O  0.372  0.919  0.275  -0.03
O  0.628  0.081  0.725  -0.03
O  0.863  0.067  0.163  -0.01
As  0.214  0.379  0.224  0.00
As  0.714  0.224  0.379  0.00
V  0.750  0.087  0.913  1.03
As  0.286  0.776  0.621  0.00
O  0.137  0.933  0.837  -0.01
O  0.505  0.391  0.312  0.00
O  0.495  0.609  0.688  0.00
O  0.637  0.837  0.933  -0.01

Material: As3WO
Method: DFT, PBE with a Hubbard U
State: optimized geometry

space group: Pm-3m

Lattice parameters (Å, degrees): 4.376 4.376 4.376 90.00 90.00 90.00
Each line ends with the local moment (μB).
Positions (direct):
W  0.500  0.500  0.500  2.75
As  0.500  0.000  0.000  -0.10
As  0.000  0.000  0.500  -0.13
As  0.000  0.500  0.000  -0.16
O  0.000  0.000  0.000  -0.04

| no. | uncorrected energy (eV/f.u.) | spin magnetization (μB/f.u.) |
| --- | --- | --- |
| 1 | -49.40 | 0.00 |
| 2 | -67.27 | 0.94 |
| 3 | -40.91 | 2.00 |
| 4 | -63.85 | 3.00 |
| 5 | -31.12 | 0.20 |
| 6 | -100.04 | 3.00 |
| 7 | -31.49 | 1.80 |
| 8 | -27.07 | 4.30 |
| 9 | -85.17 | 2.00 |
| 10 | -72.79 | 1.00 |
| 11 | -61.10 | 1.00 |
| 12 | -23.87 | 2.51 |